(1)
The following is a PBE calculation of an optimized crystal structure of Pm6C2N, from Alexandria.

Unit cell a=6.712 b=6.712 c=9.160 alpha=106.32 beta=106.32 gamma=35.95
Element x y z (fractional)
1 Pm 0.060 0.060 0.282
2 Pm 0.343 0.343 0.960
3 Pm 0.360 0.360 0.398
4 Pm 0.640 0.640 0.602
5 Pm 0.657 0.657 0.040
6 Pm 0.940 0.940 0.718
7 C 0.243 0.243 0.152
8 C 0.757 0.757 0.848
9 N 0.000 0.000 0.500

Values from the calculation:
The value obtained for the density of states at the Fermi level is 0.6438 states/eV per atom. The calculation puts the total DFT energy (no corrections) at -57.0 eV per cell. The energy above the most stable polymorph in this dataset is 218 meV per atom. The magnetization is 0.000 μB/f.u. As for the theoretical density: 6.51 Mg/m³. Its uncorrected formation energy is -0.1891 eV per atom.

(2)
The following is a PBE calculation of an optimized crystal structure of PmCN3, from Alexandria.

Unit cell a=3.624 b=5.803 c=6.430 alpha=90.00 beta=106.26 gamma=90.00
Element x y z (fractional)
1 Pm 0.152 0.250 0.304
2 Pm 0.848 0.750 0.696
3 C 0.416 0.250 0.833
4 C 0.584 0.750 0.167
5 N 0.347 0.069 0.695
6 N 0.347 0.431 0.695
7 N 0.474 0.750 0.951
8 N 0.526 0.250 0.049
9 N 0.653 0.569 0.305
10 N 0.653 0.931 0.305

Values from the calculation:
The value obtained for the density of states at the Fermi level is 0.1751 states/eV per atom. The calculation puts the total DFT energy (no corrections) at -79.5 eV per cell. The magnetization is 0.000 μB/f.u. As for the theoretical density: 5.09 Mg/m³. Its uncorrected formation energy is -0.1593 eV per atom.

(3)
The following is a PBE calculation of an optimized crystal structure of PmCN2, from Alexandria.

Unit cell a=4.299 b=4.299 c=6.781 alpha=106.77 beta=106.77 gamma=80.06
Element x y z (fractional)
1 Pm 0.168 0.832 0.750
2 Pm 0.832 0.168 0.250
3 C 0.322 0.678 0.250
4 C 0.678 0.322 0.750
5 N 0.137 0.657 0.366
6 N 0.343 0.863 0.134
7 N 0.657 0.137 0.866
8 N 0.863 0.343 0.634

Values from the calculation:
The value obtained for the density of states at the Fermi level is 0.3786 states/eV per atom. The calculation puts the total DFT energy (no corrections) at -66.1 eV per cell. The energy above the most stable polymorph in this dataset is 24 meV per atom. The magnetization is 0.000 μB/f.u. As for the theoretical density: 5.37 Mg/m³. Its uncorrected formation energy is -0.6118 eV per atom.

(4)
The following is a PBE calculation of an optimized crystal structure of PmCN3, from Alexandria.

Unit cell a=3.579 b=5.169 c=6.114 alpha=90.00 beta=102.71 gamma=90.00
Element x y z (fractional)
1 Pm 0.085 0.250 0.317
2 Pm 0.915 0.750 0.683
3 C 0.405 0.750 0.195
4 C 0.595 0.250 0.805
5 N 0.283 0.750 0.392
6 N 0.460 0.511 0.109
7 N 0.460 0.989 0.109
8 N 0.540 0.011 0.891
9 N 0.540 0.489 0.891
10 N 0.717 0.250 0.608

Values from the calculation:
The calculation puts the total DFT energy (no corrections) at -83.1 eV per cell. The magnetization is 0.000 μB/f.u. As for the theoretical density: 5.99 Mg/m³. Its uncorrected formation energy is -0.5245 eV per atom.